Entry 1:
3
Lattice="4.648 0.000 0.000 0.000 4.747 0.000 0.000 -2.373 4.111" Properties=species:S:1:pos:R:3 comment="LiAcBi (GGA-PBE, relaxed)" rho_g_cm3=8.1 crystal_system=hexagonal magnetic_moment_mub_per_fu=0.860 delta_e_f_ev_per_atom=-0.721 space_group=P-6m2 pbc="T T T"
Ac 3.099 0.000 2.740
Bi 0.776 2.373 1.370
Li 0.773 0.000 0.000

---

Entry 2:
12
Lattice="5.045 0.000 0.000 0.000 5.045 0.000 0.000 0.000 14.745" Properties=species:S:1:pos:R:3 comment="Ac2Tl9Pb (GGA-PBE, relaxed)" rho_g_cm3=11.1 crystal_system=tetragonal magnetic_moment_mub_per_fu=0.000 delta_e_f_ev_per_atom=-0.180 space_group=P4/mmm pbc="T T T"
Ac 0.000 0.000 4.865
Ac 0.000 0.000 9.881
Tl 2.523 2.523 0.000
Tl 2.523 2.523 4.965
Tl 2.523 2.523 9.781
Tl 2.523 0.000 2.361
Tl 2.523 0.000 7.373
Tl 2.523 0.000 12.385
Tl 0.000 2.523 2.361
Tl 0.000 2.523 7.373
Tl 0.000 2.523 12.385
Pb 0.000 0.000 0.000

---

Entry 3:
12
Lattice="-1.817 0.625 3.028 1.717 -5.868 2.241 5.816 2.813 2.909" Properties=species:S:1:pos:R:3 comment="HoSiNi4 (GGA-PBE, relaxed)" rho_g_cm3=8.6 crystal_system=orthorhombic magnetic_moment_mub_per_fu=0.000 space_group=Pmma final_energy_ev_per_atom=-6.020 pbc="T T T"
Ho 5.454 -1.621 3.607
Ho 2.079 -1.434 1.544
Si 4.714 0.907 2.641
Si 2.819 -3.962 2.509
Ni 2.908 1.407 1.455
Ni 0.000 0.000 0.000
Ni 5.103 -3.215 5.849
Ni 0.613 0.785 2.329
Ni 0.650 -3.672 3.271
Ni 5.067 1.242 4.907
Ni 2.871 -2.598 4.382
Ni 2.846 0.168 3.796

---

Entry 4:
4
Lattice="4.907 0.000 0.000 2.454 4.250 0.000 2.454 1.417 4.007" Properties=species:S:1:pos:R:3 comment="DyCdGaAu (GGA-PBE, relaxed)" rho_g_cm3=10.8 crystal_system=cubic magnetic_moment_mub_per_fu=0.000 delta_e_f_ev_per_atom=-0.521 space_group=F-43m pbc="T T T"
Cd 7.361 4.250 3.005
Au 0.000 0.000 0.000
Ga 4.907 2.833 2.003
Dy 2.454 1.417 1.002

---

Entry 5:
4
Lattice="-1.675 -2.195 1.292 -1.275 -0.616 -2.699 4.405 -4.044 -1.158" Properties=species:S:1:pos:R:3 comment="Be2CuBr (GGA-PBE, relaxed)" rho_g_cm3=4.7 crystal_system=tetragonal magnetic_moment_mub_per_fu=0.000 space_group=P4/mmm final_energy_ev_per_atom=-2.832 pbc="T T T"
Be 4.078 -3.743 -1.072
Be 2.530 -2.323 -0.665
Cu 1.829 -4.438 -1.572
Br -0.374 -2.416 -0.993

---

Entry 6:
4
Lattice="4.647 0.000 0.000 2.324 4.025 0.000 2.324 1.342 3.794" Properties=species:S:1:pos:R:3 comment="PaZnNiPt (GGA-PBE, relaxed)" rho_g_cm3=12.9 crystal_system=cubic magnetic_moment_mub_per_fu=0.000 delta_e_f_ev_per_atom=-0.524 space_group=F-43m pbc="T T T"
Ni 4.647 2.683 1.897
Zn 6.971 4.025 2.846
Pa 2.324 1.342 0.949
Pt 0.000 0.000 0.000